# 1
The following is a DFT calculation (PBE) of Sm4TlCd2 after structural relaxation.

Lattice parameters (Å, degrees): 10.3598 10.3598 10.3598 28.86 28.86 28.86
Element x y z (fractional)
Sm  0.1214  0.1214  0.1214
Sm  0.2985  0.2985  0.2985
Sm  0.7015  0.7015  0.7015
Sm  0.8786  0.8786  0.8786
Tl  0.5000  0.5000  0.5000
Cd  0.4022  0.4022  0.4022
Cd  0.5978  0.5978  0.5978

Output
density	7.5	g/cm3
ΔE_f	-0.1	eV per formula unit
energy	-3.312	eV per atom
space group	R-3m (166)
crystal system	trigonal
energy above the most stable polymorph in this dataset	155	meV per atom

***

# 2
The following is a DFT calculation (PBE) of Sm4TlCd5 after structural relaxation.

Lattice parameters (Å, degrees): 8.4482 8.4482 6.6254 104.35 104.35 36.02
Element x y z (fractional)
Sm  0.0969  0.0969  0.3696
Sm  0.3091  0.3091  0.1785
Sm  0.6909  0.6909  0.8215
Sm  0.9031  0.9031  0.6304
Tl  0.5000  0.5000  0.5000
Cd  0.0974  0.0974  0.8982
Cd  0.2909  0.2909  0.6748
Cd  0.5000  0.5000  0.0000
Cd  0.7091  0.7091  0.3252
Cd  0.9026  0.9026  0.1018

Output
density	8.5	g/cm3
ΔE_f	-3.2	eV per formula unit
energy	-2.899	eV per atom
space group	C2/m (12)
crystal system	monoclinic

***

# 3
The following is a DFT calculation (PBE) of Sm2TmTl2Cd2 after structural relaxation.

Lattice parameters (Å, degrees): 9.5768 9.5768 9.5768 30.21 30.21 30.21
Element x y z (fractional)
Sm  0.1258  0.1258  0.1258
Sm  0.8742  0.8742  0.8742
Tm  0.0000  0.0000  0.0000
Tl  0.2589  0.2589  0.2589
Tl  0.7411  0.7411  0.7411
Cd  0.3876  0.3876  0.3876
Cd  0.6123  0.6123  0.6123

Output
density	9.3	g/cm3
ΔE_f	-1.0	eV per formula unit
energy	-3.061	eV per atom
space group	R-3m (166)
crystal system	trigonal

***

# 4
The following is a DFT calculation (PBE) of SmTmTlCd after structural relaxation.

Lattice parameters (Å, degrees): 5.3525 5.3525 5.3525 60.00 60.00 60.00
Element x y z (fractional)
Sm  0.0000  0.0000  0.0000
Tm  0.5000  0.5000  0.5000
Tl  0.7500  0.7500  0.7500
Cd  0.2500  0.2500  0.2500

Output
density	9.7	g/cm3
ΔE_f	-1.3	eV per formula unit
energy	-3.448	eV per atom
space group	F-43m (216)
crystal system	cubic

***

# 5
The following is a DFT calculation (PBE) of SmY2Tl2Cd2 after structural relaxation.

Lattice parameters (Å, degrees): 9.2850 9.2850 9.2850 31.38 31.38 31.38
Element x y z (fractional)
Sm  0.0000  0.0000  0.0000
Y  0.1328  0.1328  0.1328
Y  0.8672  0.8672  0.8672
Tl  0.2688  0.2688  0.2688
Tl  0.7312  0.7312  0.7312
Cd  0.4278  0.4278  0.4278
Cd  0.5722  0.5722  0.5722

Output
density	8.3	g/cm3
ΔE_f	-1.2	eV per formula unit
energy	-3.624	eV per atom
space group	R-3m (166)
crystal system	trigonal

***

# 6
The following is a DFT calculation (PBE) of Sm2YTl2Cd2 after structural relaxation.

Lattice parameters (Å, degrees): 9.4025 9.4025 9.4025 30.92 30.92 30.92
Element x y z (fractional)
Sm  0.1304  0.1304  0.1304
Sm  0.8696  0.8696  0.8696
Y  0.0000  0.0000  0.0000
Tl  0.2704  0.2704  0.2704
Tl  0.7296  0.7296  0.7296
Cd  0.4156  0.4156  0.4156
Cd  0.5844  0.5844  0.5844

Output
density	8.7	g/cm3
ΔE_f	-1.0	eV per formula unit
energy	-3.359	eV per atom
space group	R-3m (166)
crystal system	trigonal